(1)
Computed, not measured: an optimized crystal structure of TbCe2Pu at the PBE-GGA level of DFT.

a = 3.459 Å, b = 3.459 Å, c = 11.169 Å
α = 81.09°, β = 81.09°, γ = 60.00°
Last column: magnetic moment on the atom in μB.
Atoms (fractional coordinates):
1 Ce 0.089 0.089 0.732  -0.13
2 Ce 0.245 0.245 0.266  0.69
3 Tb 0.669 0.669 0.994  0.01
4 Pu 0.498 0.498 0.507  5.36

Output
E   -7.584 eV/atom
ΔE to the lowest computed polymorph   0.014 eV/atom
SG   R3m (160)
Density   9.96 g/cm3
Formation energy from the elements   0.124 eV per atom

***

(2)
Computed, not measured: an optimized crystal structure of TbCe4Pu at the PBE-GGA level of DFT.

a = 6.176 Å, b = 6.176 Å, c = 6.176 Å
α = 60.00°, β = 60.00°, γ = 60.00°
Last column: magnetic moment on the atom in μB.
Atoms (fractional coordinates):
1 Ce 0.129 0.624 0.624  -0.36
2 Ce 0.624 0.624 0.129  -0.36
3 Ce 0.624 0.129 0.624  -0.36
4 Ce 0.624 0.624 0.624  -0.36
5 Tb 0.250 0.250 0.250  -0.03
6 Pu 0.000 0.000 0.000  5.44

Output
E   -6.856 eV/atom
SG   F-43m (216)
Density   9.60 g/cm3
Formation energy from the elements   0.260 eV per atom

***

(3)
Computed, not measured: an optimized crystal structure of TbCe2Pu at the PBE-GGA level of DFT.

a = 5.472 Å, b = 5.472 Å, c = 5.472 Å
α = 60.00°, β = 60.00°, γ = 60.00°
Last column: magnetic moment on the atom in μB.
Atoms (fractional coordinates):
1 Pu 0.000 0.000 0.000  5.63
2 Ce 0.750 0.750 0.750  0.90
3 Ce 0.250 0.250 0.250  0.90
4 Tb 0.500 0.500 0.500  0.15

Output
E   -7.507 eV/atom
ΔE to the lowest computed polymorph   0.091 eV/atom
SG   Fm-3m (225)
Density   9.79 g/cm3
Formation energy from the elements   0.200 eV per atom

***

(4)
Computed, not measured: an optimized crystal structure of Tb3Ce2PuTe6 at the PBE-GGA level of DFT.

a = 4.393 Å, b = 8.904 Å, c = 9.920 Å
α = 103.76°, β = 102.79°, γ = 90.00°
Last column: magnetic moment on the atom in μB.
Atoms (fractional coordinates):
1 Te 0.667 0.078 0.335  -0.02
2 Te 0.336 0.410 0.671  -0.01
3 Te 0.002 0.749 0.004  -0.03
4 Te 0.998 0.251 0.996  -0.03
5 Te 0.333 0.922 0.665  -0.02
6 Te 0.664 0.590 0.329  -0.01
7 Tb 0.500 0.500 0.000  -0.01
8 Tb 0.833 0.166 0.666  0.01
9 Tb 0.167 0.834 0.334  0.01
10 Ce 0.167 0.334 0.334  1.00
11 Ce 0.833 0.666 0.666  1.00
12 Pu 0.500 0.000 0.000  5.59

Output
E   -6.224 eV/atom
Raw formation energy   -1519.4 kJ/mol of formula units
SG   C2/m (12)
Density   7.99 g/cm3

***

(5)
Computed, not measured: an optimized crystal structure of Tb3CePu2Te6 at the PBE-GGA level of DFT.

a = 4.388 Å, b = 8.875 Å, c = 9.902 Å
α = 103.78°, β = 102.80°, γ = 90.00°
Last column: magnetic moment on the atom in μB.
Atoms (fractional coordinates):
1 Pu 0.166 0.332 0.332  5.58
2 Pu 0.834 0.668 0.668  5.58
3 Te 0.334 0.415 0.668  -0.04
4 Te 0.999 0.256 0.998  -0.02
5 Te 0.001 0.744 0.002  -0.02
6 Te 0.331 0.919 0.662  -0.03
7 Te 0.666 0.585 0.332  -0.04
8 Te 0.669 0.081 0.338  -0.03
9 Tb 0.500 0.500 0.000  0.03
10 Tb 0.166 0.833 0.333  0.00
11 Tb 0.834 0.167 0.667  0.00
12 Ce 0.500 0.000 0.000  1.00

Output
E   -6.883 eV/atom
Raw formation energy   -1472.0 kJ/mol of formula units
SG   C2/m (12)
Density   8.52 g/cm3

***

(6)
Computed, not measured: an optimized crystal structure of TbCe3Pu2Te6 at the PBE-GGA level of DFT.

a = 9.384 Å, b = 9.384 Å, c = 5.419 Å
α = 106.78°, β = 106.78°, γ = 119.96°
Last column: magnetic moment on the atom in μB.
Atoms (fractional coordinates):
1 Ce 0.830 0.170 0.500  1.23
2 Ce 0.170 0.830 0.500  1.23
3 Ce 0.500 0.500 0.500  1.23
4 Te 0.414 0.083 0.248  -0.07
5 Te 0.917 0.586 0.752  -0.07
6 Te 0.247 0.247 0.747  -0.06
7 Te 0.753 0.753 0.253  -0.06
8 Te 0.083 0.414 0.248  -0.07
9 Te 0.586 0.917 0.752  -0.07
10 Pu 0.666 0.334 0.000  5.71
11 Pu 0.334 0.666 0.000  5.71
12 Tb 0.000 0.000 0.000  0.46

Output
E   -6.990 eV/atom
Raw formation energy   -1344.3 kJ/mol of formula units
SG   Immm (71)
Density   9.01 g/cm3

***

(7)
Computed, not measured: an optimized crystal structure of TbCePuTl at the PBE-GGA level of DFT.

a = 5.368 Å, b = 5.368 Å, c = 5.368 Å
α = 60.00°, β = 60.00°, γ = 60.00°
Last column: magnetic moment on the atom in μB.
Atoms (fractional coordinates):
1 Tb 0.250 0.250 0.250  0.48
2 Pu 0.750 0.750 0.750  5.66
3 Tl 0.000 0.000 0.000  -0.02
4 Ce 0.500 0.500 0.500  1.27

Output
E   -6.778 eV/atom
SG   F-43m (216)
Density   11.35 g/cm3
Formation energy from the elements   0.038 eV per atom

***

(8)
Computed, not measured: an optimized crystal structure of TbCeTmPu at the PBE-GGA level of DFT.

a = 5.518 Å, b = 5.518 Å, c = 5.518 Å
α = 60.00°, β = 60.00°, γ = 60.00°
Last column: magnetic moment on the atom in μB.
Atoms (fractional coordinates):
1 Pu 0.500 0.500 0.500  5.67
2 Tb 0.000 0.000 0.000  0.28
3 Ce 0.250 0.250 0.250  1.12
4 Tm 0.750 0.750 0.750  0.38

Output
E   -7.154 eV/atom
SG   F-43m (216)
Density   9.95 g/cm3
Formation energy from the elements   0.188 eV per atom

***

(9)
Computed, not measured: an optimized crystal structure of TbCeYPu at the PBE-GGA level of DFT.

a = 5.559 Å, b = 5.559 Å, c = 5.559 Å
α = 60.00°, β = 60.00°, γ = 60.00°
Last column: magnetic moment on the atom in μB.
Atoms (fractional coordinates):
1 Tb 0.500 0.500 0.500  0.27
2 Pu 0.000 0.000 0.000  5.67
3 Ce 0.250 0.250 0.250  1.10
4 Y 0.750 0.750 0.750  0.27

Output
E   -7.642 eV/atom
SG   F-43m (216)
Density   8.64 g/cm3
Formation energy from the elements   0.198 eV per atom

***

(10)
Computed, not measured: an optimized crystal structure of TbCePuZn at the PBE-GGA level of DFT.

a = 5.205 Å, b = 5.205 Å, c = 5.205 Å
α = 60.00°, β = 60.00°, γ = 60.00°
Last column: magnetic moment on the atom in μB.
Atoms (fractional coordinates):
1 Pu 0.000 0.000 0.000  5.92
2 Tb 0.750 0.750 0.750  0.54
3 Zn 0.500 0.500 0.500  -0.04
4 Ce 0.250 0.250 0.250  1.13

Output
E   -6.495 eV/atom
SG   F-43m (216)
Density   10.13 g/cm3
Formation energy from the elements   0.048 eV per atom

***

(11)
Computed, not measured: an optimized crystal structure of CePu3Tc2 at the PBE-GGA level of DFT.

a = 5.215 Å, b = 7.243 Å, c = 7.243 Å
α = 104.28°, β = 80.86°, γ = 80.86°
Last column: magnetic moment on the atom in μB.
Atoms (fractional coordinates):
1 Pu 0.733 0.128 0.128  5.25
2 Pu 0.313 0.380 0.977  4.78
3 Pu 0.687 0.620 0.023  4.78
4 Pu 0.687 0.023 0.620  4.78
5 Pu 0.267 0.872 0.872  5.25
6 Pu 0.313 0.977 0.380  4.78
7 Ce 0.940 0.665 0.665  0.57
8 Ce 0.060 0.335 0.335  0.57
9 Tc 0.500 0.608 0.392  -0.44
10 Tc 0.000 0.252 0.748  -0.72
11 Tc 0.500 0.392 0.608  -0.44
12 Tc 0.000 0.748 0.252  -0.72

Output
E   -11.414 eV/atom
SG   C2/m (12)
Density   13.85 g/cm3
Formation energy from the elements   0.197 eV per atom

***

(12)
Computed, not measured: an optimized crystal structure of Ce2Pu2Tc3 at the PBE-GGA level of DFT.

a = 4.002 Å, b = 5.081 Å, c = 7.511 Å
α = 96.56°, β = 87.92°, γ = 101.01°
Atoms (fractional coordinates):
1 Pu 0.274 0.616 0.047
2 Pu 0.726 0.384 0.953
3 Tc 0.730 0.734 0.310
4 Tc 0.270 0.266 0.690
5 Tc 0.000 0.000 0.000
6 Ce 0.276 0.218 0.377
7 Ce 0.724 0.782 0.623

Output
E   -9.977 eV/atom
SG   P-1 (2)
Density   11.84 g/cm3
Formation energy from the elements   0.256 eV per atom

***

(13)
Computed, not measured: an optimized crystal structure of Ce2PuTc at the PBE-GGA level of DFT.

a = 3.690 Å, b = 6.108 Å, c = 9.308 Å
α = 90.00°, β = 90.00°, γ = 117.41°
Last column: magnetic moment on the atom in μB.
Atoms (fractional coordinates):
1 Ce 0.031 0.235 0.440  0.29
2 Ce 0.031 0.235 0.060  0.29
3 Ce 0.969 0.765 0.560  0.29
4 Ce 0.969 0.765 0.940  0.29
5 Tc 0.737 0.504 0.250  -0.40
6 Tc 0.263 0.496 0.750  -0.40
7 Pu 0.500 0.856 0.250  4.97
8 Pu 0.500 0.144 0.750  4.97

Output
E   -9.120 eV/atom
ΔE to the lowest computed polymorph   0.000 eV/atom
SG   P2_1/m (11)
Density   11.10 g/cm3
Formation energy from the elements   0.022 eV per atom

***

(14)
Computed, not measured: an optimized crystal structure of Ce2PuTc at the PBE-GGA level of DFT.

a = 3.940 Å, b = 7.152 Å, c = 13.864 Å
α = 90.00°, β = 106.51°, γ = 90.00°
Last column: magnetic moment on the atom in μB.
Atoms (fractional coordinates):
1 Tc 0.880 0.526 0.380  0.16
2 Tc 0.120 0.474 0.620  0.16
3 Tc 0.620 0.026 0.120  0.16
4 Tc 0.380 0.974 0.880  0.16
5 Ce 0.037 0.219 0.038  -0.42
6 Ce 0.284 0.311 0.283  -0.47
7 Ce 0.716 0.689 0.717  -0.47
8 Ce 0.963 0.781 0.962  -0.42
9 Ce 0.537 0.281 0.538  -0.42
10 Ce 0.216 0.811 0.217  -0.47
11 Ce 0.463 0.719 0.462  -0.42
12 Ce 0.784 0.189 0.783  -0.47
13 Pu 0.881 0.063 0.381  -5.44
14 Pu 0.119 0.937 0.619  -5.44
15 Pu 0.619 0.563 0.119  -5.44
16 Pu 0.381 0.437 0.881  -5.44

Output
E   -9.079 eV/atom
ΔE to the lowest computed polymorph   0.040 eV/atom
SG   Pbam (55)
Density   11.04 g/cm3
Formation energy from the elements   0.062 eV per atom

***

(15)
Computed, not measured: an optimized crystal structure of Ce3Pu2Tc4 at the PBE-GGA level of DFT.

a = 4.291 Å, b = 5.821 Å, c = 8.682 Å
α = 98.72°, β = 90.00°, γ = 111.63°
Last column: magnetic moment on the atom in μB.
Atoms (fractional coordinates):
1 Pu 0.664 0.328 0.783  4.35
2 Pu 0.336 0.672 0.217  4.35
3 Tc 0.089 0.178 0.636  -0.52
4 Tc 0.708 0.417 0.093  -0.57
5 Tc 0.292 0.583 0.907  -0.57
6 Tc 0.911 0.822 0.364  -0.52
7 Ce 0.374 0.749 0.613  0.36
8 Ce 0.000 0.000 0.000  0.18
9 Ce 0.626 0.251 0.387  0.36

Output
E   -9.783 eV/atom
SG   C2/m (12)
Density   10.86 g/cm3
Formation energy from the elements   -0.014 eV per atom

***

(16)
Computed, not measured: an optimized crystal structure of Ce8PuTc2 at the PBE-GGA level of DFT.

a = 5.874 Å, b = 7.467 Å, c = 7.467 Å
α = 116.24°, β = 101.15°, γ = 101.15°
Last column: magnetic moment on the atom in μB.
Atoms (fractional coordinates):
1 Tc 0.497 0.693 0.299  0.06
2 Tc 0.497 0.299 0.693  0.06
3 Ce 0.002 0.805 0.205  0.01
4 Ce 0.002 0.205 0.805  0.01
5 Ce 0.410 0.669 0.908  -0.31
6 Ce 0.170 0.354 0.354  0.05
7 Ce 0.830 0.654 0.654  0.05
8 Ce 0.595 0.103 0.339  -0.31
9 Ce 0.595 0.339 0.103  -0.31
10 Ce 0.410 0.908 0.669  -0.31
11 Pu 0.993 0.004 0.004  3.61

Output
E   -7.480 eV/atom
SG   Cm (8)
Density   9.48 g/cm3
Formation energy from the elements   0.023 eV per atom

***

(17)
Computed, not measured: an optimized crystal structure of Ce2Pu3Tc2 at the PBE-GGA level of DFT.

a = 4.674 Å, b = 6.164 Å, c = 6.446 Å
α = 112.33°, β = 90.03°, γ = 112.29°
Last column: magnetic moment on the atom in μB.
Atoms (fractional coordinates):
1 Pu 0.634 0.267 0.514  5.00
2 Pu 0.366 0.733 0.486  5.00
3 Pu 0.500 0.000 0.000  4.93
4 Tc 0.117 0.235 0.220  -0.55
5 Tc 0.883 0.765 0.780  -0.55
6 Ce 0.164 0.328 0.773  0.64
7 Ce 0.836 0.672 0.227  0.64

Output
E   -10.782 eV/atom
SG   C2/m (12)
Density   12.81 g/cm3
Formation energy from the elements   0.017 eV per atom

***

(18)
Computed, not measured: an optimized crystal structure of Ce2PuTc at the PBE-GGA level of DFT.

a = 3.418 Å, b = 3.418 Å, c = 7.806 Å
α = 90.00°, β = 90.00°, γ = 90.00°
Last column: magnetic moment on the atom in μB.
Atoms (fractional coordinates):
1 Pu 0.500 0.500 0.500  5.11
2 Ce 0.000 0.000 0.779  -0.06
3 Ce 0.000 0.000 0.221  -0.06
4 Tc 0.500 0.500 0.000  0.04

Output
E   -9.108 eV/atom
ΔE to the lowest computed polymorph   0.011 eV/atom
SG   P4/mmm (123)
Density   11.33 g/cm3
Formation energy from the elements   0.033 eV per atom

***

(19)
Computed, not measured: an optimized crystal structure of Ce2PuTc at the PBE-GGA level of DFT.

a = 3.496 Å, b = 5.024 Å, c = 5.024 Å
α = 90.00°, β = 90.00°, γ = 90.00°
Last column: magnetic moment on the atom in μB.
Atoms (fractional coordinates):
1 Pu 0.500 0.500 0.500  5.18
2 Tc 0.500 0.000 0.000  -0.20
3 Ce 0.000 0.500 0.000  0.35
4 Ce 0.000 0.000 0.500  0.35

Output
E   -9.000 eV/atom
ΔE to the lowest computed polymorph   0.120 eV/atom
SG   P4/mmm (123)
Density   11.71 g/cm3
Formation energy from the elements   0.141 eV per atom

***

(20)
Computed, not measured: an optimized crystal structure of Ce2PuTc at the PBE-GGA level of DFT.

a = 5.018 Å, b = 5.018 Å, c = 5.018 Å
α = 60.00°, β = 60.00°, γ = 60.00°
Last column: magnetic moment on the atom in μB.
Atoms (fractional coordinates):
1 Ce 0.750 0.750 0.750  0.84
2 Ce 0.250 0.250 0.250  0.84
3 Tc 0.500 0.500 0.500  -0.22
4 Pu 0.000 0.000 0.000  5.59

Output
E   -9.044 eV/atom
ΔE to the lowest computed polymorph   0.076 eV/atom
SG   Fm-3m (225)
Density   11.56 g/cm3
Formation energy from the elements   0.097 eV per atom

***

(21)
Computed, not measured: an optimized crystal structure of Ce3Pu2Tc2 at the PBE-GGA level of DFT.

a = 3.359 Å, b = 3.336 Å, c = 14.426 Å
α = 90.00°, β = 96.69°, γ = 90.00°
Last column: magnetic moment on the atom in μB.
Atoms (fractional coordinates):
1 Ce 0.000 0.000 0.000  -0.02
2 Ce 0.420 0.500 0.841  0.19
3 Ce 0.580 0.500 0.159  0.19
4 Pu 0.701 0.500 0.402  5.28
5 Pu 0.299 0.500 0.598  5.28
6 Tc 0.140 0.000 0.280  -0.43
7 Tc 0.860 0.000 0.720  -0.43

Output
E   -9.516 eV/atom
SG   Cmmm (65)
Density   11.42 g/cm3
Formation energy from the elements   0.084 eV per atom

***

(22)
Computed, not measured: an optimized crystal structure of Ce5PuTc4 at the PBE-GGA level of DFT.

a = 4.310 Å, b = 6.906 Å, c = 9.350 Å
α = 122.29°, β = 103.33°, γ = 90.00°
Last column: magnetic moment on the atom in μB.
Atoms (fractional coordinates):
1 Pu 0.500 0.000 0.000  4.25
2 Ce 0.824 0.211 0.648  0.00
3 Ce 0.500 0.500 0.000  -0.09
4 Ce 0.176 0.789 0.352  0.00
5 Ce 0.180 0.356 0.359  -0.01
6 Ce 0.820 0.644 0.641  -0.01
7 Tc 0.664 0.056 0.328  -0.11
8 Tc 0.336 0.944 0.672  -0.11
9 Tc 0.980 0.186 0.960  -0.39
10 Tc 0.020 0.814 0.040  -0.39

Output
E   -8.529 eV/atom
SG   C2/m (12)
Density   9.81 g/cm3
Formation energy from the elements   0.017 eV per atom

***

(23)
Computed, not measured: an optimized crystal structure of Ce6PuTc2 at the PBE-GGA level of DFT.

a = 6.097 Å, b = 7.744 Å, c = 9.257 Å
α = 90.00°, β = 90.00°, γ = 91.63°
Atoms (fractional coordinates):
1 Tc 0.148 0.343 0.547
2 Tc 0.648 0.843 0.953
3 Tc 0.352 0.157 0.047
4 Tc 0.852 0.657 0.453
5 Ce 0.656 0.567 0.129
6 Ce 0.124 0.457 0.257
7 Ce 0.156 0.067 0.371
8 Ce 0.376 0.043 0.757
9 Ce 0.344 0.433 0.871
10 Ce 0.143 0.806 0.025
11 Ce 0.844 0.933 0.629
12 Ce 0.357 0.694 0.525
13 Ce 0.643 0.306 0.475
14 Ce 0.857 0.194 0.975
15 Ce 0.876 0.543 0.743
16 Ce 0.624 0.957 0.243
17 Pu 0.000 0.500 0.000
18 Pu 0.500 0.000 0.500

Output
E   -7.816 eV/atom
SG   P2_1/c (14)
Density   9.74 g/cm3
Formation energy from the elements   0.036 eV per atom

***

(24)
Computed, not measured: an optimized crystal structure of Ce2PuTc at the PBE-GGA level of DFT.

a = 4.416 Å, b = 4.416 Å, c = 6.438 Å
α = 69.94°, β = 69.94°, γ = 60.00°
Last column: magnetic moment on the atom in μB.
Atoms (fractional coordinates):
1 Tc 0.676 0.676 0.972  -0.19
2 Pu 0.483 0.483 0.552  5.39
3 Ce 0.271 0.271 0.188  0.41
4 Ce 0.070 0.070 0.789  0.53

Output
E   -8.931 eV/atom
ΔE to the lowest computed polymorph   0.189 eV/atom
SG   R3m (160)
Density   10.35 g/cm3
Formation energy from the elements   0.210 eV per atom

***

(25)
Computed, not measured: an optimized crystal structure of CePu6Tc2 at the PBE-GGA level of DFT.

a = 4.784 Å, b = 5.786 Å, c = 7.879 Å
α = 79.19°, β = 72.33°, γ = 65.58°
Last column: magnetic moment on the atom in μB.
Atoms (fractional coordinates):
1 Pu 0.340 0.852 0.468  4.81
2 Pu 0.028 0.793 0.151  -4.93
3 Pu 0.660 0.148 0.532  4.81
4 Pu 0.666 0.846 0.821  -4.60
5 Pu 0.972 0.207 0.849  -4.93
6 Pu 0.334 0.154 0.179  -4.60
7 Tc 0.317 0.515 0.850  0.67
8 Tc 0.683 0.485 0.150  0.67
9 Ce 0.000 0.500 0.500  0.14

Output
E   -12.403 eV/atom
SG   C2/m (12)
Density   15.84 g/cm3
Formation energy from the elements   0.115 eV per atom